(1)
# Cu5Ag4 PBE optimized geometry
# Calculated total energy   -3.2196 eV/atom
# Formation energy   0.101 eV per atom
# Relative energy among the computed polymorphs   60.1 meV/atom
data_Cu5Ag4
_space_group_name_H-M_alt 'C 1 m 1'
_space_group_IT_number 8
_cell_length_a 8.753
_cell_length_b 3.807
_cell_length_c 8.263
_cell_angle_alpha 90.00
_cell_angle_beta 108.60
_cell_angle_gamma 90.00
loop_
_space_group_symop_operation_xyz
'x,y,z'
'x,-y,z'
'x+1/2,y+1/2,z'
'x+1/2,-y+1/2,z'
loop_
_atom_site_label
_atom_site_fract_x
_atom_site_fract_y
_atom_site_fract_z
Cu1 0.000 0.000 0.000
Cu2 0.001 0.000 0.325
Cu3 0.009 0.000 0.682
Cu4 0.346 0.000 0.110
Cu5 0.352 0.000 0.794
Ag1 0.168 0.500 0.221
Ag2 0.176 0.500 0.895
Ag3 0.180 0.500 0.567
Ag4 0.350 0.000 0.450

---

(2)
# Nd2Sn2S2O5 PBE optimized geometry
# Calculated total energy   -6.6466 eV/atom
data_Nd2Sn2S2O5
_space_group_name_H-M_alt 'I 4/m m m'
_space_group_IT_number 139
_space_group_name_Hall '-I 4 2'
_cell_length_a 3.960
_cell_length_b 3.960
_cell_length_c 24.031
_cell_angle_alpha 90.00
_cell_angle_beta 90.00
_cell_angle_gamma 90.00
loop_
_atom_site_label
_atom_site_fract_x
_atom_site_fract_y
_atom_site_fract_z
Nd1 0.000 0.000 0.172
Sn1 0.000 0.000 0.420
S1 0.000 0.000 0.294
O1 0.000 0.000 0.500
O2 0.000 0.500 0.106

---

(3)
# HoCo3Ni2 PBE optimized geometry
# Calculated total energy   -6.3717 eV/atom
# Formation energy   -0.200 eV per atom
data_HoCo3Ni2
_space_group_name_H-M_alt 'P 6/m m m'
_space_group_IT_number 191
_space_group_name_Hall '-P 6 2'
_cell_length_a 4.8272
_cell_length_b 4.8272
_cell_length_c 3.9708
_cell_angle_alpha 90.00
_cell_angle_beta 90.00
_cell_angle_gamma 120.00
loop_
_atom_site_label
_atom_site_fract_x
_atom_site_fract_y
_atom_site_fract_z
Ho1 0.0000 0.0000 0.0000
Co1 0.0000 0.5000 0.5000
Ni1 0.3333 0.6667 0.0000

---

(4)
# P11Au3 PBE optimized geometry
# Calculated total energy   -4.9948 eV/atom
data_P11Au3
_space_group_name_H-M_alt 'C 1 m 1'
_space_group_IT_number 8
_cell_length_a 12.984
_cell_length_b 7.578
_cell_length_c 6.508
_cell_angle_alpha 90.00
_cell_angle_beta 118.79
_cell_angle_gamma 90.00
loop_
_space_group_symop_operation_xyz
'x,y,z'
'x,-y,z'
'x+1/2,y+1/2,z'
'x+1/2,-y+1/2,z'
loop_
_atom_site_label
_atom_site_fract_x
_atom_site_fract_y
_atom_site_fract_z
P1 0.000 0.000 0.000
P2 0.023 0.228 0.230
P3 0.181 0.500 0.000
P4 0.212 0.247 0.491
P5 0.269 0.266 0.216
P6 0.275 0.000 0.700
P7 0.452 0.350 0.465
Au1 0.173 0.000 0.934
Au2 0.282 0.500 0.755
Au3 0.484 0.000 0.963

---

(5)
# Ba2HgIrS6 PBE optimized geometry
# Calculated total energy   -4.4027 eV/atom
data_Ba2HgIrS6
_space_group_name_H-M_alt 'F m -3 m'
_space_group_IT_number 225
_space_group_name_Hall '-F 4 2 3'
_cell_length_a 9.949
_cell_length_b 9.949
_cell_length_c 9.949
_cell_angle_alpha 90.00
_cell_angle_beta 90.00
_cell_angle_gamma 90.00
loop_
_atom_site_label
_atom_site_fract_x
_atom_site_fract_y
_atom_site_fract_z
Ba1 0.250 0.250 0.250
Hg1 0.000 0.000 0.000
Ir1 0.000 0.000 0.500
S1 0.000 0.000 0.262

---

(6)
# TaCoB PBE optimized geometry
# Calculated total energy   -8.7277 eV/atom
data_TaCoB
_space_group_name_H-M_alt 'F -4 3 m'
_space_group_IT_number 216
_space_group_name_Hall 'F -4 2 3'
_cell_length_a 5.254
_cell_length_b 5.254
_cell_length_c 5.254
_cell_angle_alpha 90.00
_cell_angle_beta 90.00
_cell_angle_gamma 90.00
loop_
_atom_site_label
_atom_site_fract_x
_atom_site_fract_y
_atom_site_fract_z
Ta1 0.000 0.000 0.000
Co1 0.000 0.000 0.500
B1 0.250 0.250 0.750

---

(7)
# Ga3Ni2Sn3 PBE optimized geometry
# Calculated total energy   -4.1212 eV/atom
# Relative energy among the computed polymorphs   0.0 meV/atom
data_Ga3Ni2Sn3
_space_group_name_H-M_alt 'P 1 m 1'
_space_group_IT_number 6
_cell_length_a 5.557
_cell_length_b 3.730
_cell_length_c 7.405
_cell_angle_alpha 90.00
_cell_angle_beta 103.30
_cell_angle_gamma 90.00
loop_
_space_group_symop_operation_xyz
'x,y,z'
'x,-y,z'
loop_
_atom_site_label
_atom_site_fract_x
_atom_site_fract_y
_atom_site_fract_z
Ga1 0.000 0.000 0.000
Ga2 0.176 0.500 0.658
Ga3 0.447 0.000 0.931
Ni1 0.390 0.000 0.535
Ni2 0.744 0.500 0.090
Sn1 0.351 0.500 0.262
Sn2 0.707 0.500 0.716
Sn3 0.863 0.000 0.367

---

(8)
# Li2AlCd2GaPt2 PBE optimized geometry
# Calculated total energy   -3.5947 eV/atom
data_Li2AlCd2GaPt2
_space_group_name_H-M_alt 'P -4 m 2'
_space_group_IT_number 115
_cell_length_a 4.480
_cell_length_b 4.480
_cell_length_c 6.326
_cell_angle_alpha 90.00
_cell_angle_beta 90.00
_cell_angle_gamma 90.00
loop_
_space_group_symop_operation_xyz
'x,y,z'
'y,-x,-z'
'-x,-y,z'
'-y,x,-z'
'-x,y,z'
'-y,-x,-z'
'x,-y,z'
'y,x,-z'
loop_
_atom_site_label
_atom_site_fract_x
_atom_site_fract_y
_atom_site_fract_z
Li1 0.000 0.500 0.247
Al1 0.000 0.000 0.500
Cd1 0.000 0.000 0.000
Cd2 0.500 0.500 0.500
Ga1 0.500 0.500 0.000
Pt1 0.000 0.500 0.744